# Cr2Cd2Fe | Alexandria via LeMat-Bulk | PBE-GGA | optimized geometry
# * D(E_F): 7.3 states/eV/cell
# * calculated density: 7.2 g cm⁻³
# * total energy: -5.000 eV/atom
data_Cr2Cd2Fe
_cell_length_a 3.858
_cell_length_b 3.858
_cell_length_c 11.878
_cell_angle_alpha 90.00
_cell_angle_beta 90.00
_cell_angle_gamma 90.00
_space_group_name_H-M_alt 'I 4/m m m'
_space_group_IT_number 139
_space_group_name_Hall '-I 4 2'
loop_
_atom_site_label
_atom_site_type_symbol
_atom_site_fract_x
_atom_site_fract_y
_atom_site_fract_z
Cr1 Cr 0.000 0.000 0.076
Cd1 Cd 0.000 0.500 0.250
Fe1 Fe 0.000 0.000 0.500

# Ti2NiH2 | Alexandria via LeMat-Bulk | PBE-GGA | optimized geometry
# * D(E_F): 11.0 states/eV/cell
# * distance to the lowest polymorph of the same formula: 0.295 eV/atom
# * calculated density: 5.4 g cm⁻³
# * total energy: -5.785 eV/atom
data_Ti2NiH2
_cell_length_a 5.949
_cell_length_b 5.949
_cell_length_c 2.697
_cell_angle_alpha 90.00
_cell_angle_beta 90.00
_cell_angle_gamma 90.00
_space_group_name_H-M_alt 'P 4/m b m'
_space_group_IT_number 127
_space_group_name_Hall '-P 4 2ab'
loop_
_atom_site_label
_atom_site_type_symbol
_atom_site_fract_x
_atom_site_fract_y
_atom_site_fract_z
Ti1 Ti 0.169 0.331 0.000
Ni1 Ni 0.000 0.000 0.500
H1 H 0.126 0.626 0.500